A plane-wave DFT calculation with PBE with a Hubbard U was carried out for an optimized crystal structure of MnInB2F.

The structure in CIF format:
```
data_MnInB2F
_chemical_formula_sum 'Mn1 In1 B2 F1'
_space_group_name_H-M_alt 'P 1'
_space_group_IT_number 1
_space_group_name_Hall 'P 1'
_cell_length_a 4.295
_cell_length_b 4.295
_cell_length_c 5.828
_cell_angle_alpha 90.00
_cell_angle_beta 90.00
_cell_angle_gamma 90.00
loop_
_atom_site_label
_atom_site_type_symbol
_atom_site_fract_x
_atom_site_fract_y
_atom_site_fract_z
Mn1 Mn 0.000 0.000 0.000
In1 In 0.000 0.000 0.500
B1 B 0.000 0.500 0.500
B2 B 0.500 0.000 0.500
F1 F 0.500 0.500 0.000
```

Calculated values
SG: P4/mmm
E_tot in eV per atom: -3.80